No. 1
# GGA-PBE Er4ZnCu2Ni, optimized geometry
data_Er4ZnCu2Ni
_chemical_formula_sum 'Er12 Zn3 Cu6 Ni3'
_cell_length_a 4.8609
_cell_length_b 4.8609
_cell_length_c 23.7961
_cell_angle_alpha 90.00
_cell_angle_beta 90.00
_cell_angle_gamma 120.00
_space_group_name_H-M_alt 'R -3 m'
_space_group_IT_number 166
_space_group_name_Hall '-R 3 2"'
loop_
_atom_site_label
_atom_site_fract_x
_atom_site_fract_y
_atom_site_fract_z
_atom_site_occupancy
Er1 0.0000 0.0000 0.1207 1
Er2 0.0000 0.0000 0.3713 1
Zn1 0.0000 0.0000 0.5000 1
Cu1 0.0000 0.0000 0.2460 1
Ni1 0.0000 0.0000 0.0000 1
# **Crystal system**: trigonal
# **DFT formation energy**: -0.342 eV per atom



No. 2
# GGA-PBE IrPbNF2, optimized geometry
data_IrPbNF2
_chemical_formula_sum 'Ir1 Pb1 N1 F2'
_cell_length_a 4.657
_cell_length_b 4.657
_cell_length_c 3.695
_cell_angle_alpha 90.00
_cell_angle_beta 90.00
_cell_angle_gamma 90.00
_space_group_name_H-M_alt 'P 4/m m m'
_space_group_IT_number 123
_space_group_name_Hall '-P 4 2'
loop_
_atom_site_label
_atom_site_fract_x
_atom_site_fract_y
_atom_site_fract_z
_atom_site_occupancy
Ir1 0.000 0.000 0.000 1
Pb1 0.500 0.500 0.500 1
N1 0.000 0.000 0.500 1
F1 0.000 0.500 0.000 1
# **Formation energy without anion corrections**: -0.50 eV per atom
# **Offset from the most stable computed form**: 0 meV/atom
# **Crystal system**: tetragonal



Calculated volume / Å³/cell: 487, 80
Calculated total energy / hartree per atom: -0.166, -0.199